[1]
Below is an optimized crystal structure of Tb14YCd, with properties calculated at the PBE level.

The structure in CIF format:
```
data_Tb14YCd
_chemical_formula_sum 'Tb28 Y2 Cd2'
_cell_length_a 11.2985
_cell_length_b 7.1690
_cell_length_c 12.4202
_cell_angle_alpha 90.00
_cell_angle_beta 90.00
_cell_angle_gamma 90.00
_space_group_name_H-M_alt 'A m m 2'
_space_group_IT_number 38
_space_group_name_Hall 'A 2 -2'
loop_
_atom_site_label
_atom_site_fract_x
_atom_site_fract_y
_atom_site_fract_z
Tb1 0.0000 0.0000 0.0000
Tb2 0.0000 0.0000 0.4981
Tb3 0.0000 0.2471 0.2503
Tb4 0.2452 0.0000 0.6661
Tb5 0.2560 0.2492 0.9161
Tb6 0.2577 0.0000 0.1657
Tb7 0.5000 0.2398 0.7467
Y1 0.5000 0.0000 0.5045
Cd1 0.5000 0.0000 0.9991
```

VASP energy   -4.527 eV/atom
Calculated volume   31.44 Å³/atom
Total magnetic moment   0.00 μB per formula unit
DFT formation energy   -15 meV/atom

[2]
Below is an optimized crystal structure of MgTeN2, with properties calculated at the PBE level.

The structure in CIF format:
```
data_MgTeN2
_chemical_formula_sum 'Mg3 Te3 N6'
_cell_length_a 3.4762
_cell_length_b 3.4762
_cell_length_c 18.7601
_cell_angle_alpha 90.00
_cell_angle_beta 90.00
_cell_angle_gamma 120.00
_space_group_name_H-M_alt 'R -3 m'
_space_group_IT_number 166
_space_group_name_Hall '-R 3 2"'
loop_
_atom_site_label
_atom_site_fract_x
_atom_site_fract_y
_atom_site_fract_z
Mg1 0.0000 0.0000 0.0000
Te1 0.0000 0.0000 0.5000
N1 0.0000 0.0000 0.1049
```

Offset from the most stable computed form   620 meV/atom
VASP energy   -4.638 eV/atom
Calculated volume   16.36 Å³/atom
Total magnetic moment   0.00 μB per formula unit

[3]
Below is an optimized crystal structure of Pm8Os3PdBr4, with properties calculated at the PBE level.

The structure in CIF format:
```
data_Pm8Os3PdBr4
_chemical_formula_sum 'Pm24 Os9 Pd3 Br12'
_cell_length_a 8.2271
_cell_length_b 8.2271
_cell_length_c 23.4103
_cell_angle_alpha 90.00
_cell_angle_beta 90.00
_cell_angle_gamma 120.00
_space_group_name_H-M_alt 'R -3 m'
_space_group_IT_number 166
_space_group_name_Hall '-R 3 2"'
loop_
_atom_site_label
_atom_site_fract_x
_atom_site_fract_y
_atom_site_fract_z
Pm1 0.0000 0.0000 0.2329
Pm2 0.0133 0.5066 0.7676
Os1 0.0000 0.5000 0.5000
Pd1 0.0000 0.0000 0.5000
Br1 0.0000 0.0000 0.0000
Br2 0.0000 0.5000 0.0000
```

VASP energy   -6.002 eV/atom
Calculated volume   28.59 Å³/atom
Total magnetic moment   0.00 μB per formula unit

[4]
Below is an optimized crystal structure of SrSc2MnSn, with properties calculated at the PBE level.

The structure in CIF format:
```
data_SrSc2MnSn
_chemical_formula_sum 'Sr1 Sc2 Mn1 Sn1'
_cell_length_a 4.9343
_cell_length_b 4.9343
_cell_length_c 5.1302
_cell_angle_alpha 90.00
_cell_angle_beta 90.00
_cell_angle_gamma 90.00
_space_group_name_H-M_alt 'P 4/m m m'
_space_group_IT_number 123
_space_group_name_Hall '-P 4 2'
loop_
_atom_site_label
_atom_site_fract_x
_atom_site_fract_y
_atom_site_fract_z
Sr1 0.0000 0.0000 0.0000
Sc1 0.0000 0.5000 0.5000
Mn1 0.5000 0.5000 0.5000
Sn1 0.5000 0.5000 0.0000
```

VASP energy   -5.566 eV/atom
Calculated volume   24.98 Å³/atom
Total magnetic moment   0.00 μB per formula unit
DFT formation energy   -62 meV/atom

| no. | D(E_F) (states/eV/f.u.) |
| --- | --- |
| 1 | 21.0 |
| 2 | 2.7 |
| 3 | 6.4 |
| 4 | 4.0 |